A relaxed La3GaTeBr crystal, computed with PBE-GGA. Values from VASP.

Quantum ESPRESSO input file:
```
&SYSTEM
  ibrav = 0, nat = 12, ntyp = 4
/
ATOMIC_SPECIES
La 138.91 La.upf
Te 127.60 Te.upf
Br 79.90 Br.upf
Ga 69.72 Ga.upf
ATOMIC_POSITIONS crystal
La 0.750 0.335 0.205
La 0.250 0.191 0.893
La 0.250 0.665 0.795
La 0.250 0.631 0.388
La 0.750 0.369 0.612
La 0.750 0.809 0.107
Te 0.250 0.075 0.177
Te 0.750 0.925 0.823
Br 0.250 0.142 0.590
Br 0.750 0.858 0.410
Ga 0.250 0.540 0.079
Ga 0.750 0.460 0.921
CELL_PARAMETERS angstrom
4.339 0.000 0.000
0.000 9.119 0.570
0.000 -1.883 10.244
```

Results
As for the space-group type: P2_1/m. The formation energy (no corrections) comes out at -1.04 eV per atom. As for the total energy: -4.81 eV/atom. The spin magnetization is 1.46 μB per formula unit.